1.
Entry from Alexandria via LeMat-Bulk: a relaxed structure of MnCrFe3 (PBE).

Cell and atoms, written as POSCAR:
```
MnCrFe3
1.0
4.1226 0.0000 0.0000
0.0000 4.1226 0.0000
0.0000 0.0000 4.1226
Mn Cr Fe
1 1 3
direct
0.0000 0.0000 0.0000
0.5000 0.5000 0.5000
0.0000 0.0000 0.5000
0.0000 0.5000 0.0000
0.5000 0.0000 0.0000
```

Output
ΔH_f (0 K) = 1416 meV/atom
SG = Pm-3m (221)
Crystal system = cubic

=====

2.
Entry from Alexandria via LeMat-Bulk: a relaxed structure of NpNi7Sb2As2 (PBE).

Cell and atoms, written as POSCAR:
```
NpNi7Sb2As2
1.0
2.6345 -2.6335 0.0000
2.6345 2.6335 0.0000
-2.6023 0.0000 14.4707
Np Ni Sb As
1 7 2 2
direct
0.0000 0.0000 0.0000
0.0672 0.5668 0.1374
0.3010 0.3010 0.6032
0.4332 0.9328 0.8626
0.5000 0.5000 0.0000
0.5668 0.0672 0.1374
0.6990 0.6990 0.3968
0.9328 0.4332 0.8626
0.2125 0.2125 0.4248
0.7875 0.7875 0.5752
0.3831 0.3831 0.7629
0.6169 0.6169 0.2371
```

Output
E_form (uncorrected) = -0.11 eV per atom
SG = C2/m (12)
Crystal system = monoclinic

=====

3.
Entry from Alexandria via LeMat-Bulk: a relaxed structure of CsBaSeO4 (PBE).

Cell and atoms, written as POSCAR:
```
CsBaSeO4
1.0
-3.4979 3.8851 5.2205
3.4979 -3.8851 5.2205
3.4979 3.8851 -5.2205
Cs Ba Se O
2 2 2 8
direct
0.5000 0.0000 0.0000
0.5000 0.5000 0.5000
0.0000 0.0000 0.0000
0.5000 0.0000 0.5000
0.1206 0.3706 0.7500
0.8794 0.6294 0.2500
0.1587 0.7278 0.4309
0.2031 0.2722 0.9309
0.2190 0.2446 0.5256
0.2190 0.6933 0.9744
0.7810 0.3067 0.0256
0.7810 0.7554 0.4744
0.7969 0.7278 0.0691
0.8413 0.2722 0.5691
```

Output
E_form (uncorrected) = -1.33 eV per atom
SG = Imma (74)
Crystal system = orthorhombic

=====

4.
Entry from Alexandria via LeMat-Bulk: a relaxed structure of CeSiC (PBE).

Cell and atoms, written as POSCAR:
```
CeSiC
1.0
1.8664 -6.8785 0.0000
1.8664 6.8785 0.0000
0.0000 0.0000 3.9156
Ce Si C
2 2 2
direct
0.1529 0.8471 0.7500
0.8471 0.1529 0.2500
0.4578 0.5422 0.7500
0.5422 0.4578 0.2500
0.3259 0.6741 0.7500
0.6741 0.3259 0.2500
```

Output
E_form (uncorrected) = -0.36 eV per atom
SG = Cmcm (63)
Crystal system = orthorhombic